[1]
Li2CaIN | GGA-PBE | optimized geometry

The crystal system is orthorhombic. The value obtained for the formation energy from raw total energies is -0.76 eV per atom. For the energy, the calculation gives -39.1 eV per cell. For the volume, the calculation gives 19.7 A^3/atom. As for the space-group type: Cmcm, No. 63. As for the total magnetization: 0.0 μB/cell.

Unit cell a=7.6098 b=7.6098 c=7.1828 alpha=90.00 beta=90.00 gamma=151.67
Fractional coordinates of all 10 atoms:
Li: 0.1283 0.8717 0.5233
Li: 0.1283 0.8717 0.9767
Li: 0.8717 0.1283 0.0233
Li: 0.8717 0.1283 0.4767
Ca: 0.4950 0.5050 0.7500
Ca: 0.5050 0.4950 0.2500
I: 0.2718 0.7282 0.2500
I: 0.7282 0.2718 0.7500
N: 0.0000 0.0000 0.0000
N: 0.0000 0.0000 0.5000

---

[2]
NaLiCaI4 | GGA-PBE | optimized geometry

The crystal system is orthorhombic. The value obtained for the formation energy from raw total energies is -1.39 eV per atom. For the energy, the calculation gives -42.3 eV per cell. For the volume, the calculation gives 38.2 A^3/atom. As for the space-group type: Imma, No. 74. As for the total magnetization: 0.0 μB/cell.

Unit cell a=9.1233 b=9.1233 c=9.1233 alpha=121.08 beta=119.36 gamma=89.62
Fractional coordinates of all 14 atoms:
Na: 0.5000 0.0000 0.0000
Na: 0.5000 0.5000 0.5000
Li: 0.1100 0.3600 0.7500
Li: 0.8900 0.6400 0.2500
Ca: 0.0000 0.0000 0.0000
Ca: 0.5000 0.0000 0.5000
I: 0.2450 0.2421 0.0028
I: 0.2484 0.2434 0.4949
I: 0.2484 0.7535 0.0051
I: 0.2607 0.7579 0.5028
I: 0.7393 0.2421 0.4972
I: 0.7516 0.2465 0.9949
I: 0.7516 0.7566 0.5051
I: 0.7550 0.7579 0.9972

---

[3]
Li2CaNpI8 | GGA-PBE | optimized geometry

The crystal system is triclinic. The value obtained for the formation energy from raw total energies is -1.08 eV per atom. For the energy, the calculation gives -44.1 eV per cell. For the volume, the calculation gives 40.4 A^3/atom. As for the space-group type: P-1, No. 2. As for the total magnetization: 3.0 μB/cell.

Unit cell a=7.1901 b=7.5735 c=8.9468 alpha=90.10 beta=90.10 gamma=95.50
Fractional coordinates of all 12 atoms:
Li: 0.0008 0.0018 0.2272
Li: 0.9992 0.9982 0.7728
Ca: 0.5000 0.5000 0.0000
Np: 0.5000 0.5000 0.5000
I: 0.2261 0.1627 0.9993
I: 0.2268 0.1720 0.4994
I: 0.2714 0.6619 0.2624
I: 0.2714 0.6620 0.7375
I: 0.7286 0.3380 0.2625
I: 0.7286 0.3381 0.7376
I: 0.7732 0.8280 0.5006
I: 0.7739 0.8373 0.0007

---

[4]
LiCaI2O | GGA-PBE | optimized geometry

The crystal system is tetragonal. The value obtained for the formation energy from raw total energies is -0.90 eV per atom. For the energy, the calculation gives -16.5 eV per cell. For the volume, the calculation gives 24.1 A^3/atom. As for the space-group type: P4/mmm, No. 123. As for the total magnetization: 0.0 μB/cell.

Unit cell a=5.5457 b=5.5457 c=3.9201 alpha=90.00 beta=90.00 gamma=90.00
Fractional coordinates of all 5 atoms:
Li: 0.0000 0.0000 0.0000
Ca: 0.5000 0.5000 0.5000
I: 0.0000 0.5000 0.0000
I: 0.5000 0.0000 0.0000
O: 0.0000 0.0000 0.5000

---

[5]
LiCaIO2 | GGA-PBE | optimized geometry

The crystal system is tetragonal. The value obtained for the formation energy from raw total energies is -0.75 eV per atom. For the energy, the calculation gives -19.1 eV per cell. For the volume, the calculation gives 18.4 A^3/atom. As for the space-group type: P4/mmm, No. 123. As for the total magnetization: 2.0 μB/cell.

Unit cell a=4.2661 b=4.2661 c=5.0443 alpha=90.00 beta=90.00 gamma=90.00
Fractional coordinates of all 5 atoms:
Li: 0.0000 0.0000 0.0000
Ca: 0.5000 0.5000 0.5000
I: 0.0000 0.0000 0.5000
O: 0.0000 0.5000 0.0000
O: 0.5000 0.0000 0.0000

---

[6]
LiCa2IO6 | GGA-PBE | optimized geometry

The crystal system is trigonal. The value obtained for the formation energy from raw total energies is -1.82 eV per atom. For the energy, the calculation gives -55.4 eV per cell. For the volume, the calculation gives 12.1 A^3/atom. As for the space-group type: R-3, No. 148. As for the total magnetization: 0.0 μB/cell.

Unit cell a=5.5084 b=5.5084 c=5.5084 alpha=61.16 beta=61.16 gamma=61.16
Fractional coordinates of all 10 atoms:
Li: 0.0000 0.0000 0.0000
Ca: 0.2545 0.2545 0.2545
Ca: 0.7455 0.7455 0.7455
I: 0.5000 0.5000 0.5000
O: 0.1842 0.3468 0.7241
O: 0.2759 0.8158 0.6532
O: 0.3468 0.7241 0.1842
O: 0.6532 0.2759 0.8158
O: 0.7241 0.1842 0.3468
O: 0.8158 0.6532 0.2759